Entry 1:
A plane-wave DFT calculation with meta-GGA SCAN was carried out for TbPO4 at its PBEsol-relaxed geometry.

As for the volume: 10.78 Å³/atom.

Unit cell a=6.530 b=6.530 c=6.530 alpha=136.70 beta=136.70 gamma=62.91
Sites, in units of the cell vectors:
Tb: 0.375 0.125 0.250
Tb: 0.625 0.875 0.750
P: 0.125 0.375 0.750
P: 0.875 0.625 0.250
O: 0.076 0.207 0.383
O: 0.192 0.576 0.368
O: 0.293 0.176 0.868
O: 0.324 0.692 0.117
O: 0.676 0.308 0.883
O: 0.707 0.824 0.132
O: 0.808 0.424 0.632
O: 0.924 0.793 0.617


Entry 2:
A plane-wave DFT calculation with meta-GGA SCAN was carried out for ZnTcP2O at its PBEsol-relaxed geometry.

As for the volume: 16.14 Å³/atom.

Unit cell a=4.718 b=4.718 c=3.626 alpha=90.00 beta=90.00 gamma=90.00
Sites, in units of the cell vectors:
Zn: 0.000 0.000 0.000
Tc: 0.500 0.500 0.500
P: 0.000 0.500 0.500
P: 0.500 0.000 0.500
O: 0.500 0.500 0.000


Entry 3:
A plane-wave DFT calculation with meta-GGA SCAN was carried out for Te3P2O11 at its PBEsol-relaxed geometry.

As for the volume: 13.97 Å³/atom.

Unit cell a=12.465 b=7.314 c=9.901 alpha=90.00 beta=97.79 gamma=90.00
Sites, in units of the cell vectors:
Te: 0.142 0.229 0.124
Te: 0.142 0.271 0.624
Te: 0.261 0.702 0.025
Te: 0.261 0.798 0.525
Te: 0.352 0.250 0.440
Te: 0.352 0.250 0.940
Te: 0.648 0.750 0.060
Te: 0.648 0.750 0.560
Te: 0.739 0.202 0.475
Te: 0.739 0.298 0.975
Te: 0.858 0.729 0.376
Te: 0.858 0.771 0.876
P: 0.085 0.693 0.728
P: 0.085 0.807 0.228
P: 0.429 0.691 0.321
P: 0.429 0.809 0.821
P: 0.571 0.191 0.179
P: 0.571 0.309 0.679
P: 0.915 0.193 0.772
P: 0.915 0.307 0.272
O: 0.034 0.248 0.291
O: 0.034 0.252 0.791
O: 0.095 0.531 0.625
O: 0.095 0.969 0.125
O: 0.122 0.639 0.878
O: 0.122 0.861 0.378
O: 0.160 0.654 0.182
O: 0.160 0.846 0.682
O: 0.245 0.106 0.013
O: 0.245 0.394 0.513
O: 0.246 0.198 0.276
O: 0.246 0.302 0.776
O: 0.269 0.058 0.547
O: 0.269 0.442 0.047
O: 0.370 0.647 0.886
O: 0.370 0.853 0.386
O: 0.380 0.514 0.370
O: 0.380 0.986 0.870
O: 0.406 0.710 0.164
O: 0.406 0.790 0.664
O: 0.449 0.201 0.140
O: 0.449 0.299 0.640
O: 0.551 0.701 0.360
O: 0.551 0.799 0.860
O: 0.594 0.210 0.336
O: 0.594 0.290 0.836
O: 0.620 0.014 0.130
O: 0.620 0.486 0.630
O: 0.630 0.147 0.614
O: 0.630 0.353 0.114
O: 0.731 0.558 0.953
O: 0.731 0.942 0.453
O: 0.754 0.698 0.224
O: 0.754 0.802 0.724
O: 0.755 0.606 0.487
O: 0.755 0.894 0.987
O: 0.840 0.154 0.318
O: 0.840 0.346 0.818
O: 0.878 0.139 0.622
O: 0.878 0.361 0.122
O: 0.905 0.031 0.875
O: 0.905 0.469 0.375
O: 0.966 0.748 0.209
O: 0.966 0.752 0.709


Entry 4:
A plane-wave DFT calculation with meta-GGA SCAN was carried out for TeP2O2 at its PBEsol-relaxed geometry.

As for the volume: 14.28 Å³/atom.

Unit cell a=3.685 b=3.685 c=5.260 alpha=90.00 beta=90.00 gamma=90.00
Sites, in units of the cell vectors:
Te: 0.000 0.000 0.000
P: 0.000 0.500 0.500
P: 0.500 0.000 0.500
O: 0.500 0.500 0.000
O: 0.500 0.500 0.500


Entry 5:
A plane-wave DFT calculation with meta-GGA SCAN was carried out for Te2PO7 at its PBEsol-relaxed geometry.

As for the volume: 13.65 Å³/atom.

Unit cell a=9.050 b=7.171 c=8.415 alpha=90.00 beta=90.00 gamma=90.00
Sites, in units of the cell vectors:
Te: 0.152 0.222 0.000
Te: 0.201 0.857 0.703
Te: 0.299 0.857 0.203
Te: 0.348 0.222 0.500
Te: 0.652 0.778 0.000
Te: 0.701 0.143 0.703
Te: 0.799 0.143 0.203
Te: 0.848 0.778 0.500
P: 0.056 0.461 0.310
P: 0.444 0.461 0.810
P: 0.556 0.539 0.310
P: 0.944 0.539 0.810
O: 0.005 0.905 0.627
O: 0.056 0.669 0.359
O: 0.105 0.608 0.805
O: 0.130 0.457 0.141
O: 0.141 0.338 0.430
O: 0.178 0.949 0.918
O: 0.223 0.133 0.669
O: 0.277 0.133 0.169
O: 0.322 0.949 0.418
O: 0.359 0.338 0.930
O: 0.370 0.457 0.641
O: 0.395 0.608 0.305
O: 0.444 0.669 0.859
O: 0.495 0.905 0.127
O: 0.505 0.095 0.627
O: 0.556 0.331 0.359
O: 0.605 0.392 0.805
O: 0.630 0.543 0.141
O: 0.641 0.662 0.430
O: 0.678 0.051 0.918
O: 0.723 0.867 0.669
O: 0.777 0.867 0.169
O: 0.822 0.051 0.418
O: 0.859 0.662 0.930
O: 0.870 0.543 0.641
O: 0.895 0.392 0.305
O: 0.944 0.331 0.859
O: 0.995 0.095 0.127


Entry 6:
A plane-wave DFT calculation with meta-GGA SCAN was carried out for TePO3 at its PBEsol-relaxed geometry.

As for the volume: 13.49 Å³/atom.

Unit cell a=4.070 b=4.070 c=4.070 alpha=90.00 beta=90.00 gamma=90.00
Sites, in units of the cell vectors:
Te: 0.000 0.000 0.000
P: 0.500 0.500 0.500
O: 0.000 0.000 0.500
O: 0.000 0.500 0.000
O: 0.500 0.000 0.000


Entry 7:
A plane-wave DFT calculation with meta-GGA SCAN was carried out for ZnTeP2O at its PBEsol-relaxed geometry.

As for the volume: 19.89 Å³/atom.

Unit cell a=5.057 b=5.057 c=3.889 alpha=90.00 beta=90.00 gamma=90.00
Sites, in units of the cell vectors:
Zn: 0.000 0.000 0.000
Te: 0.500 0.500 0.500
P: 0.000 0.500 0.500
P: 0.500 0.000 0.500
O: 0.500 0.500 0.000


Entry 8:
A plane-wave DFT calculation with meta-GGA SCAN was carried out for Th2P2O9 at its PBEsol-relaxed geometry.

As for the volume: 16.45 Å³/atom.

Unit cell a=5.857 b=5.857 c=12.859 alpha=90.00 beta=90.00 gamma=104.22
Sites, in units of the cell vectors:
Th: 0.208 0.792 0.929
Th: 0.292 0.708 0.429
Th: 0.708 0.292 0.571
Th: 0.792 0.208 0.071
P: 0.110 0.890 0.641
P: 0.390 0.610 0.141
P: 0.610 0.390 0.859
P: 0.890 0.110 0.359
O: 0.000 0.000 0.000
O: 0.015 0.649 0.584
O: 0.053 0.947 0.376
O: 0.147 0.853 0.757
O: 0.149 0.515 0.084
O: 0.351 0.985 0.584
O: 0.353 0.647 0.257
O: 0.447 0.553 0.876
O: 0.485 0.851 0.084
O: 0.500 0.500 0.500
O: 0.515 0.149 0.916
O: 0.553 0.447 0.124
O: 0.647 0.353 0.743
O: 0.649 0.015 0.416
O: 0.851 0.485 0.916
O: 0.853 0.147 0.243
O: 0.947 0.053 0.624
O: 0.985 0.351 0.416


Entry 9:
A plane-wave DFT calculation with meta-GGA SCAN was carried out for TiP4O12 at its PBEsol-relaxed geometry.

As for the volume: 14.14 Å³/atom. The calculation puts the energy above the most stable polymorph in this dataset at 0.0 meV per atom.

Unit cell a=13.051 b=8.072 c=9.130 alpha=90.00 beta=90.00 gamma=90.00
Sites, in units of the cell vectors:
Ti: 0.000 0.161 0.250
Ti: 0.000 0.839 0.750
Ti: 0.500 0.339 0.750
Ti: 0.500 0.661 0.250
P: 0.145 0.041 0.519
P: 0.145 0.959 0.019
P: 0.151 0.324 0.005
P: 0.151 0.676 0.505
P: 0.349 0.176 0.505
P: 0.349 0.824 0.005
P: 0.355 0.459 0.019
P: 0.355 0.541 0.519
P: 0.645 0.459 0.481
P: 0.645 0.541 0.981
P: 0.651 0.176 0.995
P: 0.651 0.824 0.495
P: 0.849 0.324 0.495
P: 0.849 0.676 0.995
P: 0.855 0.041 0.981
P: 0.855 0.959 0.481
O: 0.067 0.023 0.639
O: 0.067 0.977 0.139
O: 0.074 0.308 0.131
O: 0.074 0.692 0.631
O: 0.113 0.145 0.390
O: 0.113 0.855 0.890
O: 0.128 0.426 0.877
O: 0.128 0.574 0.377
O: 0.179 0.135 0.960
O: 0.179 0.865 0.460
O: 0.245 0.121 0.589
O: 0.245 0.879 0.089
O: 0.255 0.379 0.089
O: 0.255 0.621 0.589
O: 0.321 0.365 0.460
O: 0.321 0.635 0.960
O: 0.372 0.074 0.377
O: 0.372 0.926 0.877
O: 0.387 0.355 0.890
O: 0.387 0.645 0.390
O: 0.426 0.192 0.631
O: 0.426 0.808 0.131
O: 0.433 0.477 0.139
O: 0.433 0.523 0.639
O: 0.567 0.477 0.361
O: 0.567 0.523 0.861
O: 0.574 0.192 0.869
O: 0.574 0.808 0.369
O: 0.613 0.355 0.610
O: 0.613 0.645 0.110
O: 0.628 0.074 0.123
O: 0.628 0.926 0.623
O: 0.679 0.365 0.040
O: 0.679 0.635 0.540
O: 0.745 0.379 0.411
O: 0.745 0.621 0.911
O: 0.755 0.121 0.911
O: 0.755 0.879 0.411
O: 0.821 0.135 0.540
O: 0.821 0.865 0.040
O: 0.872 0.426 0.623
O: 0.872 0.574 0.123
O: 0.887 0.145 0.110
O: 0.887 0.855 0.610
O: 0.926 0.308 0.369
O: 0.926 0.692 0.869
O: 0.933 0.023 0.861
O: 0.933 0.977 0.361


Entry 10:
A plane-wave DFT calculation with meta-GGA SCAN was carried out for Ti2P2O9 at its PBEsol-relaxed geometry.

As for the volume: 13.22 Å³/atom.

Unit cell a=13.891 b=6.296 c=7.863 alpha=90.00 beta=90.00 gamma=90.00
Sites, in units of the cell vectors:
Ti: 0.000 0.000 0.000
Ti: 0.000 0.500 0.000
Ti: 0.123 0.250 0.349
Ti: 0.377 0.750 0.849
Ti: 0.500 0.000 0.500
Ti: 0.500 0.500 0.500
Ti: 0.623 0.250 0.151
Ti: 0.877 0.750 0.651
P: 0.056 0.750 0.348
P: 0.196 0.750 0.918
P: 0.304 0.250 0.418
P: 0.444 0.250 0.848
P: 0.556 0.750 0.152
P: 0.696 0.750 0.582
P: 0.804 0.250 0.082
P: 0.944 0.250 0.652
O: 0.003 0.750 0.168
O: 0.019 0.250 0.512
O: 0.039 0.250 0.139
O: 0.119 0.553 0.348
O: 0.119 0.947 0.348
O: 0.131 0.553 0.942
O: 0.131 0.947 0.942
O: 0.217 0.250 0.540
O: 0.249 0.750 0.744
O: 0.251 0.250 0.244
O: 0.283 0.750 0.040
O: 0.369 0.053 0.442
O: 0.369 0.447 0.442
O: 0.381 0.053 0.848
O: 0.381 0.447 0.848
O: 0.461 0.750 0.639
O: 0.481 0.750 0.012
O: 0.497 0.250 0.668
O: 0.503 0.750 0.332
O: 0.519 0.250 0.988
O: 0.539 0.250 0.361
O: 0.619 0.553 0.152
O: 0.619 0.947 0.152
O: 0.631 0.553 0.558
O: 0.631 0.947 0.558
O: 0.717 0.250 0.960
O: 0.749 0.750 0.756
O: 0.751 0.250 0.256
O: 0.783 0.750 0.460
O: 0.869 0.053 0.058
O: 0.869 0.447 0.058
O: 0.881 0.053 0.652
O: 0.881 0.447 0.652
O: 0.961 0.750 0.861
O: 0.981 0.750 0.488
O: 0.997 0.250 0.832


Entry 11:
A plane-wave DFT calculation with meta-GGA SCAN was carried out for Ti3P3O13 at its PBEsol-relaxed geometry.

As for the volume: 12.97 Å³/atom.

Unit cell a=7.610 b=6.310 c=10.381 alpha=90.00 beta=98.69 gamma=90.00
Sites, in units of the cell vectors:
Ti: 0.000 0.000 0.000
Ti: 0.000 0.500 0.000
Ti: 0.212 0.250 0.556
Ti: 0.358 0.750 0.186
Ti: 0.642 0.250 0.814
Ti: 0.788 0.750 0.444
P: 0.222 0.750 0.478
P: 0.262 0.250 0.231
P: 0.301 0.250 0.877
P: 0.699 0.750 0.123
P: 0.738 0.750 0.769
P: 0.778 0.250 0.522
O: 0.019 0.750 0.417
O: 0.087 0.250 0.128
O: 0.133 0.750 0.096
O: 0.197 0.052 0.907
O: 0.197 0.448 0.907
O: 0.211 0.250 0.370
O: 0.257 0.551 0.562
O: 0.257 0.949 0.562
O: 0.336 0.750 0.371
O: 0.338 0.250 0.733
O: 0.367 0.053 0.206
O: 0.367 0.447 0.206
O: 0.494 0.250 0.950
O: 0.506 0.750 0.050
O: 0.633 0.553 0.794
O: 0.633 0.947 0.794
O: 0.662 0.750 0.267
O: 0.664 0.250 0.629
O: 0.743 0.051 0.438
O: 0.743 0.449 0.438
O: 0.789 0.750 0.630
O: 0.803 0.552 0.093
O: 0.803 0.948 0.093
O: 0.867 0.250 0.904
O: 0.913 0.750 0.872
O: 0.981 0.250 0.583


Entry 12:
A plane-wave DFT calculation with meta-GGA SCAN was carried out for Ti3PO2 at its PBEsol-relaxed geometry.

As for the volume: 11.21 Å³/atom.

Unit cell a=3.124 b=3.124 c=7.960 alpha=90.00 beta=90.00 gamma=120.00
Sites, in units of the cell vectors:
Ti: 0.000 0.000 0.000
Ti: 0.333 0.667 0.290
Ti: 0.667 0.333 0.710
P: 0.000 0.000 0.500
O: 0.333 0.667 0.858
O: 0.667 0.333 0.142


| no. | raw formation energy (eV/atom) |
| --- | --- |
| 1 | -3.3006 |
| 2 | -0.0414 |
| 3 | -1.6782 |
| 4 | 0.5025 |
| 5 | -1.4367 |
| 6 | 0.1526 |
| 7 | 0.6753 |
| 8 | -3.3201 |
| 9 | -2.4961 |
| 10 | -2.8067 |
| 11 | -2.8318 |
| 12 | -1.9484 |